A plane-wave DFT calculation with PBE-GGA was carried out for an optimized crystal structure of TbAlGa.

Cell: 4.3749 4.3749 3.8132 Å, 90.00 90.00 120.00°
Space group P-6m2 (No. 187)
Symmetry-distinct sites (fractional):
Tb 0.0000 0.0000 0.0000 x1
Al 0.3333 0.6667 0.5000 x1
Ga 0.6667 0.3333 0.5000 x1

Summary:
Magnetization = 0.00 μB per formula unit
E_form = -0.582 eV/atom

---

A plane-wave DFT calculation with PBE-GGA was carried out for an optimized crystal structure of Nb2MoW6.

Cell: 4.610 5.491 6.769 Å, 98.59 109.87 90.06°
Space group P-1 (No. 2)
Symmetry-distinct sites (fractional):
Nb 0.103 0.474 0.205 x2
Mo 0.000 0.000 0.000 x1
W 0.295 0.339 0.590 x2
W 0.301 0.858 0.602 x2
W 0.497 0.252 0.995 x2

Summary:
Magnetization = 0.00 μB per formula unit
E_form = 0.482 eV/atom
Energy above the lowest structure with this stoichiometry = 143 meV per atom

---

A plane-wave DFT calculation with PBE-GGA was carried out for an optimized crystal structure of Li2YScTe.

Cell: 5.250 5.250 5.295 Å, 90.00 90.00 90.00°
Space group P4/mmm (No. 123)
Symmetry-distinct sites (fractional):
Li 0.000 0.500 0.000 x2
Y 0.000 0.000 0.000 x1
Sc 0.000 0.000 0.500 x1
Te 0.500 0.500 0.500 x1

Summary:
Magnetization = 0.00 μB per formula unit
Uncorrected formation energy = 4.22 eV/f.u.
Energy above the lowest structure with this stoichiometry = 924 meV per atom